A geometry-optimized SrZr2In structure, computed with PBE.

Calculated values
formation energy from the elements: -16.3 meV/atom
N(E_F): 3.259 states/eV/cell

a = 3.318 Å, b = 3.318 Å, c = 9.941 Å
α = 90.00°, β = 90.00°, γ = 90.00°
Sites, in units of the cell vectors:
Sr 0.000 0.000 0.000
Zr 0.000 0.000 0.518
Zr 0.500 0.500 0.309
In 0.500 0.500 0.742